This record from Alexandria via LeMat-Bulk describes a relaxed structure of Ac2NiSeO6. The functional is PBE with a Hubbard U.

total energy = -6.41 eV per atom
calculated density = 8.6 g/cm³

Unit cell a=5.7177 b=5.7177 c=28.2728 alpha=90.00 beta=90.00 gamma=120.00
Space group R-3m (No. 166, hexagonal axes)
Inequivalent atoms, fractional coordinates:
Ac: 0.0000 0.0000 0.1266 (multiplicity 6)
Ac: 0.0000 0.0000 0.2861 (multiplicity 6)
Ni: 0.0000 0.0000 0.4113 (multiplicity 6)
Se: 0.0000 0.0000 0.0000 (multiplicity 3)
Se: 0.0000 0.0000 0.5000 (multiplicity 3)
O: 0.0074 0.5037 0.7088 (multiplicity 18)
O: 0.0083 0.5041 0.8749 (multiplicity 18)